10
Lattice="-1.854 -2.137 -2.990 3.420 -2.228 -0.528 -3.236 -6.551 6.690" Properties=species:S:1:pos:R:3 comment="U2CoSi4Pt3 PBE optimized geometry" sg="P-4m2, No. 115" raw_formation_energy_ev_per_atom=-0.72 pbc="T T T"
Co -0.835 -5.458 1.586
Pt 1.296 -1.954 0.593
Si -2.961 -5.188 2.711
U -0.696 -5.986 4.711
Si 0.783 -2.183 -1.759
Si 0.509 -3.546 2.220
Si 0.000 0.000 0.000
Pt -3.748 -6.781 4.338
Pt -1.618 -3.276 3.345
U -1.756 -2.748 0.220


5
Lattice="4.606 0.000 0.000 0.000 4.281 0.000 0.000 0.000 4.606" Properties=species:S:1:pos:R:3 comment="CoSiPt2W PBE optimized geometry" sg="P4/mmm, No. 123" raw_formation_energy_ev_per_atom=1.21 pbc="T T T"
Pt 0.000 0.000 2.303
Si 2.303 2.140 2.303
Co 0.000 0.000 0.000
Pt 2.303 0.000 0.000
W 0.000 2.140 0.000


10
Lattice="-2.282 -3.418 0.061 3.399 -2.276 -0.398 0.885 -0.414 9.920" Properties=species:S:1:pos:R:3 comment="Y2CoSi4Pt3 PBE optimized geometry" sg="P-4m2, No. 115" raw_formation_energy_ev_per_atom=-1.03 pbc="T T T"
Y 2.360 -1.446 7.199
Pt -0.371 -2.069 8.663
Pt 1.815 -1.192 1.089
Y -0.916 -1.814 2.553
Pt 0.443 -0.207 4.960
Si 0.000 0.000 0.000
Si 0.559 -2.847 -0.169
Si -0.586 -1.969 6.253
Co 1.002 -3.054 4.792
Si 2.030 -1.292 3.498


18
Lattice="-1.313 3.750 -7.362 8.173 -0.153 1.779 -2.747 -7.897 -0.297" Properties=species:S:1:pos:R:3 comment="Sm6Co2Pt PBE optimized geometry" sg="Immm, No. 71" formation_energy_mev_per_atom=-329 pbc="T T T"
Sm 3.943 -1.499 -1.279
Pt 1.400 -0.275 -6.621
Co -2.719 -2.777 -5.129
Co 0.067 -5.184 -3.257
Sm 3.334 -6.839 -0.309
Sm 3.533 -1.545 -4.819
Sm 1.157 0.249 -2.885
Sm -0.150 -6.178 -0.466
Sm -1.704 -0.021 -5.114
Pt -2.747 -7.897 -0.297
Sm 5.818 -4.279 -0.767
Sm 0.581 -2.755 -1.061
Co -1.341 -1.370 -2.530
Sm 2.957 -4.549 -2.996
Sm 0.171 -2.801 -4.602
Sm 0.779 2.540 -5.571
Co 4.046 0.884 -2.624
Sm 4.264 1.878 -5.414


16
Lattice="2.178 6.232 -3.269 6.319 -3.238 -1.963 -7.243 -3.647 -3.478" Properties=species:S:1:pos:R:3 comment="Sm5Co2Pt PBE optimized geometry" sg="I4/mcm, No. 140" formation_energy_mev_per_atom=-386 pbc="T T T"
Sm 3.003 3.485 -5.030
Sm 5.842 0.948 -5.530
Sm 3.821 -1.692 -3.606
Pt 2.751 0.422 -5.663
Co 6.463 -0.455 -3.015
Co 2.699 -0.565 -1.127
Sm -2.567 1.039 -5.103
Pt -1.497 -1.075 -3.047
Sm -4.588 -1.600 -3.180
Sm 0.271 -1.498 -5.603
Co 2.035 3.449 -2.217
Sm 4.249 1.497 -2.616
Co 5.799 3.560 -4.105
Sm 0.983 0.846 -3.107
Sm -1.749 -4.137 -3.680
Sm 0.000 0.000 0.000


4
Lattice="3.488 0.000 0.000 0.000 3.488 0.000 0.000 0.000 7.034" Properties=species:S:1:pos:R:3 comment="Sm2CoPt PBE optimized geometry" sg="P4/mmm, No. 123" formation_energy_mev_per_atom=-566 pbc="T T T"
Co 1.744 1.744 0.000
Pt 1.744 1.744 3.517
Sm 0.000 0.000 5.328
Sm 0.000 0.000 1.706


Please write out number 5 again, unchanged.
16
Lattice="2.178 6.232 -3.269 6.319 -3.238 -1.963 -7.243 -3.647 -3.478" Properties=species:S:1:pos:R:3 comment="Sm5Co2Pt PBE optimized geometry" sg="I4/mcm, No. 140" formation_energy_mev_per_atom=-386 pbc="T T T"
Sm 3.003 3.485 -5.030
Sm 5.842 0.948 -5.530
Sm 3.821 -1.692 -3.606
Pt 2.751 0.422 -5.663
Co 6.463 -0.455 -3.015
Co 2.699 -0.565 -1.127
Sm -2.567 1.039 -5.103
Pt -1.497 -1.075 -3.047
Sm -4.588 -1.600 -3.180
Sm 0.271 -1.498 -5.603
Co 2.035 3.449 -2.217
Sm 4.249 1.497 -2.616
Co 5.799 3.560 -4.105
Sm 0.983 0.846 -3.107
Sm -1.749 -4.137 -3.680
Sm 0.000 0.000 0.000